# 1
The following is a DFT calculation (PBE) of a relaxed structure of ScPa2Se4.

a = 3.7366 Å, b = 6.8183 Å, c = 14.1939 Å
α = 90.00°, β = 90.00°, γ = 105.90°
Site moments in Bohr magnetons follow the coordinates.
Sites, in units of the cell vectors:
Se1 0.0448 0.0897 0.2500  -0.01
Se2 0.9552 0.9103 0.7500  -0.01
Se3 0.2022 0.4044 0.6329  -0.01
Se4 0.5000 0.0000 0.0000  -0.02
Se5 0.7978 0.5956 0.3671  -0.01
Se6 0.7978 0.5956 0.1329  -0.01
Se7 0.5000 0.0000 0.5000  -0.02
Se8 0.2022 0.4044 0.8671  -0.01
Pa1 0.8527 0.7055 0.9343  0.73
Pa2 0.1473 0.2945 0.4343  0.73
Pa3 0.8527 0.7055 0.5657  0.73
Pa4 0.1473 0.2945 0.0657  0.73
Sc1 0.6120 0.2240 0.7500  0.01
Sc2 0.3880 0.7760 0.2500  0.01

Summary:
E_tot ... -96.67 eV per cell
E_form (uncorrected) ... -1.30 eV per atom


# 2
The following is a DFT calculation (PBE) of a relaxed structure of ScPa2Se5.

a = 5.6237 Å, b = 6.9794 Å, c = 13.3198 Å
α = 90.00°, β = 90.00°, γ = 113.76°
Site moments in Bohr magnetons follow the coordinates.
Sites, in units of the cell vectors:
Pa1 0.1559 0.3117 0.5571  0.88
Pa2 0.8441 0.6883 0.4429  0.88
Pa3 0.1559 0.3117 0.9429  0.88
Pa4 0.8441 0.6883 0.0571  0.88
Se1 0.0500 0.1000 0.3740  -0.03
Se2 0.7426 0.4853 0.2500  -0.02
Se3 0.9500 0.9000 0.6260  -0.03
Se4 0.3387 0.6773 0.0764  -0.03
Se5 0.3387 0.6773 0.4236  -0.03
Se6 0.6613 0.3227 0.9236  -0.03
Se7 0.6613 0.3227 0.5764  -0.03
Se8 0.2574 0.5147 0.7500  -0.02
Se9 0.0500 0.1000 0.1260  -0.03
Se10 0.9500 0.9000 0.8740  -0.03
Sc1 0.2160 0.4320 0.2500  0.15
Sc2 0.7840 0.5680 0.7500  0.15

Summary:
E_tot ... -107.33 eV per cell
E_form (uncorrected) ... -1.37 eV per atom


# 3
The following is a DFT calculation (PBE) of a relaxed structure of ScPaSe2.

a = 3.7710 Å, b = 3.7710 Å, c = 7.4450 Å
α = 75.33°, β = 75.33°, γ = 60.00°
Site moments in Bohr magnetons follow the coordinates.
Sites, in units of the cell vectors:
Pa1 0.5000 0.5000 0.5000  0.14
Sc1 0.0000 0.0000 0.0000  -0.01
Se1 0.2580 0.2580 0.2260  0.00
Se2 0.7420 0.7420 0.7740  0.00

Summary:
E_tot ... -28.36 eV per cell
E_form (uncorrected) ... -1.39 eV per atom


# 4
The following is a DFT calculation (PBE) of a relaxed structure of ScPa5Se6.

a = 7.0136 Å, b = 7.0136 Å, c = 6.7434 Å
α = 99.69°, β = 99.69°, γ = 117.38°
Site moments in Bohr magnetons follow the coordinates.
Sites, in units of the cell vectors:
Se1 0.2335 0.2335 0.7472  -0.01
Se2 0.0767 0.3985 0.2379  -0.01
Se3 0.7665 0.7665 0.2528  -0.01
Se4 0.9233 0.6015 0.7621  -0.01
Se5 0.3985 0.0767 0.2379  -0.01
Se6 0.6015 0.9233 0.7621  -0.01
Pa1 0.5000 0.5000 0.5000  0.46
Pa2 0.1750 0.8250 0.5000  0.35
Pa3 0.6626 0.3374 0.0000  0.30
Pa4 0.8250 0.1750 0.5000  0.35
Pa5 0.3374 0.6626 0.0000  0.30
Sc1 0.0000 0.0000 0.0000  0.01

Summary:
E_tot ... -89.79 eV per cell
E_form (uncorrected) ... -1.26 eV per atom


# 5
The following is a DFT calculation (PBE) of a relaxed structure of Sc5Pa3Se12.

a = 14.0999 Å, b = 14.0999 Å, c = 14.0999 Å
α = 109.47°, β = 109.47°, γ = 109.47°
Site moments in Bohr magnetons follow the coordinates.
Sites, in units of the cell vectors:
Se1 0.2179 0.6759 0.0915  -0.02
Se2 0.3241 0.5420 0.4156  -0.02
Se3 0.5915 0.8736 0.4156  -0.02
Se4 0.4156 0.3736 0.5915  -0.02
Se5 0.1759 0.0844 0.9580  -0.02
Se6 0.4085 0.2821 0.3241  -0.02
Se7 0.5844 0.6264 0.4085  -0.02
Se8 0.9156 0.0915 0.8736  -0.02
Se9 0.1264 0.7179 0.5420  -0.02
Se10 0.0420 0.6264 0.7179  -0.02
Se11 0.8241 0.9085 0.2821  -0.02
Se12 0.4580 0.7821 0.8736  -0.02
Se13 0.2179 0.5420 0.6264  -0.02
Se14 0.8241 0.9156 0.0420  -0.02
Se15 0.0844 0.1759 0.4580  -0.02
Se16 0.2821 0.8736 0.9580  -0.02
Se17 0.4580 0.6759 0.0844  -0.02
Se18 0.4085 0.1264 0.5844  -0.02
Se19 0.0915 0.9156 0.3736  -0.02
Se20 0.5420 0.3241 0.9156  -0.02
Se21 0.7821 0.3241 0.9085  -0.02
Se22 0.7179 0.1264 0.0420  -0.02
Se23 0.1759 0.0915 0.7179  -0.02
Se24 0.9580 0.3736 0.2821  -0.02
Se25 0.2821 0.4085 0.8241  -0.02
Se26 0.1264 0.4085 0.0844  -0.02
Se27 0.5915 0.7179 0.6759  -0.02
Se28 0.4156 0.0420 0.3241  -0.02
Se29 0.8736 0.5915 0.9156  -0.02
Se30 0.9085 0.8241 0.7821  -0.02
Se31 0.6759 0.2179 0.5915  -0.02
Se32 0.5844 0.9580 0.6759  -0.02
Se33 0.9580 0.5844 0.1759  -0.02
Se34 0.7179 0.5915 0.1759  -0.02
Se35 0.9156 0.8241 0.5420  -0.02
Se36 0.7821 0.4580 0.3736  -0.02
Se37 0.3241 0.7821 0.4085  -0.02
Se38 0.3736 0.9580 0.7821  -0.02
Se39 0.0915 0.1759 0.2179  -0.02
Se40 0.0844 0.9085 0.1264  -0.02
Se41 0.5420 0.2179 0.1264  -0.02
Se42 0.0420 0.4156 0.8241  -0.02
Se43 0.9085 0.0844 0.6264  -0.02
Se44 0.6759 0.4580 0.5844  -0.02
Se45 0.3736 0.4156 0.0915  -0.02
Se46 0.6264 0.0420 0.2179  -0.02
Se47 0.8736 0.2821 0.4580  -0.02
Se48 0.6264 0.5844 0.9085  -0.02
Sc1 0.6250 0.7500 0.8750  0.16
Sc2 0.0000 0.0000 0.5000  0.16
Sc3 0.3750 0.1250 0.7500  0.16
Sc4 0.0000 0.0000 0.0000  0.16
Sc5 0.1250 0.3750 0.2500  0.16
Sc6 0.5000 0.0000 0.5000  0.16
Sc7 0.2500 0.8750 0.1250  0.16
Sc8 0.5000 0.0000 0.0000  0.16
Sc9 0.1250 0.7500 0.3750  0.16
Sc10 0.8750 0.2500 0.6250  0.16
Sc11 0.7500 0.1250 0.8750  0.16
Sc12 0.5000 0.5000 0.5000  0.16
Sc13 0.3750 0.2500 0.1250  0.16
Sc14 0.7500 0.6250 0.3750  0.16
Sc15 0.0000 0.5000 0.5000  0.16
Sc16 0.5000 0.5000 0.0000  0.16
Sc17 0.0000 0.5000 0.0000  0.16
Sc18 0.6250 0.8750 0.2500  0.16
Sc19 0.8750 0.6250 0.7500  0.16
Sc20 0.2500 0.3750 0.6250  0.16
Pa1 0.1250 0.2500 0.8750  1.44
Pa2 0.3750 0.6250 0.2500  1.44
Pa3 0.2500 0.1250 0.3750  1.44
Pa4 0.3750 0.7500 0.6250  1.44
Pa5 0.7500 0.3750 0.1250  1.44
Pa6 0.7500 0.8750 0.6250  1.44
Pa7 0.1250 0.8750 0.7500  1.44
Pa8 0.2500 0.6250 0.8750  1.44
Pa9 0.6250 0.3750 0.7500  1.44
Pa10 0.8750 0.1250 0.2500  1.44
Pa11 0.6250 0.2500 0.3750  1.44
Pa12 0.8750 0.7500 0.1250  1.44

Summary:
E_tot ... -516.83 eV per cell
E_form (uncorrected) ... -1.36 eV per atom


# 6
The following is a DFT calculation (PBE) of a relaxed structure of ScPa4Se5.

a = 4.0431 Å, b = 4.0431 Å, c = 14.5308 Å
α = 98.00°, β = 98.00°, γ = 90.00°
Site moments in Bohr magnetons follow the coordinates.
Sites, in units of the cell vectors:
Pa1 0.3990 0.3990 0.7980  0.36
Pa2 0.8035 0.8035 0.6070  0.56
Pa3 0.6010 0.6010 0.2020  0.36
Pa4 0.1965 0.1965 0.3930  0.56
Se1 0.7023 0.7023 0.4045  -0.01
Se2 0.0946 0.0946 0.1892  -0.01
Se3 0.2977 0.2977 0.5955  -0.01
Se4 0.9054 0.9054 0.8108  -0.01
Se5 0.5000 0.5000 0.0000  -0.01
Sc1 0.0000 0.0000 0.0000  0.06

Summary:
E_tot ... -74.46 eV per cell
E_form (uncorrected) ... -1.27 eV per atom


# 7
The following is a DFT calculation (PBE) of a relaxed structure of ScPaSe2.

a = 3.6685 Å, b = 3.6685 Å, c = 7.8367 Å
α = 76.46°, β = 76.46°, γ = 60.00°
Sites, in units of the cell vectors:
Se1 0.0900 0.0900 0.7300
Se2 0.2437 0.2437 0.2690
Pa1 0.6679 0.6679 0.9962
Sc1 0.4984 0.4984 0.5048

Summary:
E_tot ... -28.16 eV per cell
E_form (uncorrected) ... -1.34 eV per atom


# 8
The following is a DFT calculation (PBE) of a relaxed structure of ScPa3Se6.

a = 6.8335 Å, b = 8.7601 Å, c = 8.7601 Å
α = 100.30°, β = 90.00°, γ = 90.00°
Site moments in Bohr magnetons follow the coordinates.
Sites, in units of the cell vectors:
Se1 0.6520 0.2400 0.7600  -0.02
Se2 0.1813 0.3742 0.2998  -0.03
Se3 0.1813 0.7002 0.6258  -0.03
Se4 0.6886 0.9069 0.4276  -0.02
Se5 0.7432 0.9985 0.0015  -0.01
Se6 0.6886 0.5724 0.0931  -0.02
Se7 0.2432 0.0015 0.9985  -0.01
Se8 0.1520 0.7600 0.2400  -0.02
Se9 0.6813 0.2998 0.3742  -0.03
Se10 0.6813 0.6258 0.7002  -0.03
Se11 0.1886 0.4276 0.9069  -0.02
Se12 0.1886 0.0931 0.5724  -0.02
Pa1 0.9890 0.7274 0.9269  0.93
Pa2 0.4890 0.9269 0.7274  0.93
Pa3 0.9890 0.0731 0.2726  0.93
Pa4 0.4890 0.2726 0.0731  0.93
Pa5 0.8716 0.6013 0.3987  1.09
Pa6 0.3716 0.3987 0.6013  1.09
Sc1 0.0006 0.1559 0.8441  0.15
Sc2 0.5006 0.8441 0.1559  0.15

Summary:
E_tot ... -137.98 eV per cell
E_form (uncorrected) ... -1.33 eV per atom